(1)
Entry from the Alexandria database: a relaxed Pm3Nd3Th crystal (PBE).

Results
space group = R-3

Lattice parameters (Å, degrees): 8.871 8.871 8.871 60.34 60.34 60.34
Fractional coordinates of all 14 atoms:
1 Pm 0.061 0.297 0.810
2 Pm 0.190 0.939 0.703
3 Pm 0.297 0.810 0.061
4 Pm 0.703 0.190 0.939
5 Pm 0.810 0.061 0.297
6 Pm 0.939 0.703 0.190
7 Nd 0.065 0.724 0.560
8 Nd 0.276 0.440 0.935
9 Nd 0.440 0.935 0.276
10 Nd 0.560 0.065 0.724
11 Nd 0.724 0.560 0.065
12 Nd 0.935 0.276 0.440
13 Th 0.352 0.352 0.352
14 Th 0.648 0.648 0.648

(2)
Entry from the Alexandria database: a relaxed PmNdTh crystal (PBE).

Results
space group = I4mm
polymorph energy (0 for the lowest one) = 5.6 meV per atom

Lattice parameters (Å, degrees): 3.641 3.641 15.412 90.00 90.00 90.00
Fractional coordinates of all 6 atoms:
1 Pm 0.000 0.000 0.000
2 Pm 0.500 0.500 0.500
3 Nd 0.000 0.000 0.684
4 Nd 0.500 0.500 0.184
5 Th 0.000 0.000 0.343
6 Th 0.500 0.500 0.843

The calculation returns the following formation energy values, one per record and in order: 1.70; 0.09 eV/f.u..
The calculation returns the following total energy values, one per record and in order: -4.897; -5.618 eV per atom.